Density functional theory data (PBE-GGA) for a relaxed structure of GaReB2S.

Unit cell a=3.8396 b=4.9082 c=3.8396 alpha=90.00 beta=90.00 gamma=90.00
Element x y z (fractional)
Ga 0.0000 0.0000 0.0000
B 0.0000 0.0000 0.5000
Re 0.5000 0.5000 0.5000
B 0.5000 0.0000 0.0000
S 0.0000 0.5000 0.0000

Computed properties:
As for the symmetry: P4/mmm. Its total DFT energy (no corrections) is -22.88 eV for the cell shown. The formation energy without anion corrections is 2.016 eV/atom.